KTiMnO3: optimized geometry, PBE with a Hubbard U.

Geometry as POSCAR:
```
KTiMnO3
1.0
3.350 0.000 0.000
0.000 6.425 -0.971
0.000 -2.582 8.550
K O Mn Ti
2 6 2 2
Direct
0.250 0.306 0.282 K
0.750 0.694 0.718 K
0.750 0.943 0.189 O
0.750 0.208 0.546 O
0.250 0.471 0.837 O
0.750 0.529 0.163 O
0.250 0.057 0.811 O
0.250 0.792 0.454 O
0.750 0.293 0.920 Mn
0.250 0.707 0.080 Mn
0.750 0.856 0.370 Ti
0.250 0.144 0.630 Ti
```

The final energy comes out at -86.79 eV for the cell shown. For the density of states at the Fermi level, the calculation gives 2.975 states/eV per cell. The size of the total moment is 4.92 μB/f.u.